Record 1
Entry from the Alexandria database: a relaxed Cd2CuAg crystal (GGA-PBE).

As for the energy of formation: 0.034 eV/atom. The value obtained for the total energy is -8.64 eV/cell.

It has space group Pm (No. 6), with a = 2.963 Å, b = 4.527 Å, c = 5.594 Å, α = 90.00°, β = 103.58° and γ = 90.00°. The inequivalent atoms are Cd at (0.000, 0.000, 0.000), Cd at (0.313, 0.500, 0.670), Cu at (0.587, 0.500, 0.189) and Ag at (0.714, 0.000, 0.463).


Record 2
Entry from the Alexandria database: a relaxed UTl3Cu2S6 crystal (GGA-PBE).

The formation energy (no corrections) is -557.7 meV/atom. The value obtained for the total energy is -116.07 eV/cell.

It has space group C2/m (No. 12), with a = 6.103 Å, b = 14.491 Å, c = 7.192 Å, α = 90.00°, β = 109.77° and γ = 90.00°. The inequivalent atoms are U at (0.000, 0.000, 0.000), Tl at (0.000, 0.178, 0.500), Tl at (0.000, 0.500, 0.500), Cu at (0.000, 0.410, 0.000), S at (0.205, 0.000, 0.746) and S at (0.221, 0.367, 0.814).


Record 3
Entry from the Alexandria database: a relaxed Zn3Fe2 crystal (GGA-PBE).

The energy above the most stable polymorph in this dataset is 8.43 kJ per mole of atoms. As for the energy of formation: 0.091 eV/atom. The value obtained for the total energy is -162.33 eV/cell.

It has space group Fdd2 (No. 43), with a = 8.980 Å, b = 12.607 Å, c = 4.668 Å, α = 90.00°, β = 90.00° and γ = 90.00°. The inequivalent atoms are Zn at (0.000, 0.000, 0.000), Zn at (0.045, 0.399, 0.022) and Fe at (0.026, 0.296, 0.552).